The following is a DFT calculation (PBE) of an optimized crystal structure of YTc2I.

```
YTc2I
1.0
7.738 0.000 0.000
0.000 7.738 0.000
3.869 3.869 2.956
I Y Tc
2 2 4
Direct
0.000 0.000 0.000
0.750 0.250 0.500
0.250 0.750 0.500
0.500 0.500 0.000
0.061 0.625 0.250
0.375 0.311 0.750
0.689 0.125 0.250
0.875 0.939 0.750
```

Results
E, eV per atom: -6.23
Symmetry: I-42d, No. 122
Density of states at the Fermi level, states/eV/f.u.: 2.734
Calculated volume, Å³/f.u.: 89
Formation energy without anion corrections, eV per atom: 0.952

The following is a DFT calculation (PBE) of an optimized crystal structure of YTc3I.

```
YTc3I
1.0
4.826 0.000 0.000
0.000 4.826 0.000
0.000 0.000 4.826
Tc I Y
3 1 1
Direct
0.000 0.000 0.500
0.500 0.000 0.000
0.000 0.500 0.000
0.000 0.000 0.000
0.500 0.500 0.500
```

Results
E, eV per atom: -6.50
Symmetry: Pm-3m, No. 221
Density of states at the Fermi level, states/eV/f.u.: 6.417
Calculated volume, Å³/f.u.: 112
Formation energy without anion corrections, eV per atom: 1.324

The following is a DFT calculation (PBE) of an optimized crystal structure of Y5Tc2I2.

```
Y5Tc2I2
1.0
-2.705 -5.325 5.010
5.522 1.997 5.103
-6.625 3.218 5.909
I Tc Y
4 4 10
Direct
0.778 0.000 0.444
0.722 0.500 0.556
0.278 0.500 0.444
0.222 0.000 0.556
0.619 0.117 0.000
0.881 0.617 0.000
0.119 0.383 0.000
0.381 0.883 0.000
0.721 0.330 0.215
0.500 0.500 0.000
0.936 0.330 0.785
0.436 0.170 0.785
0.000 0.000 0.000
0.564 0.830 0.215
0.279 0.670 0.785
0.221 0.170 0.215
0.064 0.670 0.215
0.779 0.830 0.785
```

Results
E, eV per atom: -6.66
Symmetry: Cmce, No. 64
Density of states at the Fermi level, states/eV/f.u.: 4.733
Calculated volume, Å³/f.u.: 261
Formation energy without anion corrections, eV per atom: -0.416

The following is a DFT calculation (PBE) of an optimized crystal structure of YTcI2.

```
YTcI2
1.0
1.967 -4.433 1.810
1.308 -0.403 4.993
-2.806 -2.970 3.179
I Y Tc
2 1 1
Direct
0.750 0.750 0.750
0.250 0.250 0.250
0.000 0.000 0.000
0.500 0.500 0.500
```

Results
E, eV per atom: -4.75
Symmetry: Fm-3m, No. 225
Density of states at the Fermi level, states/eV/f.u.: 5.140
Calculated volume, Å³/f.u.: 98
Formation energy without anion corrections, eV per atom: 0.229

The following is a DFT calculation (PBE) of an optimized crystal structure of YTcI2.

```
YTcI2
1.0
5.124 0.000 0.000
0.000 5.124 0.000
2.562 2.562 9.002
I Y Tc
4 2 2
Direct
0.875 0.904 0.750
0.654 0.125 0.250
0.375 0.346 0.750
0.096 0.625 0.250
0.500 0.500 0.000
0.250 0.750 0.500
0.750 0.250 0.500
0.000 0.000 0.000
```

Results
E, eV per atom: -4.72
Symmetry: I-42d, No. 122
Density of states at the Fermi level, states/eV/f.u.: 2.629
Calculated volume, Å³/f.u.: 118
Formation energy without anion corrections, eV per atom: 0.262

The following is a DFT calculation (PBE) of an optimized crystal structure of ZnTcI6.

```
ZnTcI6
1.0
7.503 -0.923 -0.868
-3.153 6.870 -0.868
0.851 1.164 6.687
Zn I Tc
1 6 1
Direct
0.000 0.000 0.000
0.707 0.707 0.256
0.999 0.708 0.735
0.001 0.292 0.265
0.293 0.293 0.744
0.292 0.001 0.265
0.708 0.999 0.735
0.000 0.000 0.500
```

Results
E, eV per atom: -2.81
Symmetry: C2/m, No. 12
Calculated volume, Å³/f.u.: 342
Formation energy without anion corrections, eV per atom: -0.196

The following is a DFT calculation (PBE) of an optimized crystal structure of Zn3TcI.

```
Zn3TcI
1.0
5.093 0.000 0.000
0.000 5.093 0.000
0.000 0.000 5.093
Zn I Tc
3 1 1
Direct
0.500 0.000 0.000
0.000 0.500 0.000
0.000 0.000 0.500
0.500 0.500 0.500
0.000 0.000 0.000
```

Results
E, eV per atom: -2.43
Symmetry: Pm-3m, No. 221
Density of states at the Fermi level, states/eV/f.u.: 3.112
Calculated volume, Å³/f.u.: 132
Formation energy without anion corrections, eV per atom: 0.717

The following is a DFT calculation (PBE) of an optimized crystal structure of Zn2TcI8.

```
Zn2TcI8
1.0
6.879 -0.104 -0.043
-0.097 7.698 4.220
-0.187 -0.114 8.777
I Zn Tc
8 2 1
Direct
0.243 0.285 0.854
0.757 0.146 0.715
0.757 0.715 0.146
0.243 0.854 0.285
0.349 0.331 0.331
0.651 0.669 0.669
0.806 0.159 0.159
0.194 0.841 0.841
0.581 0.833 0.833
0.419 0.167 0.167
0.000 0.000 0.000
```

Results
E, eV per atom: -2.60
Symmetry: C2/m, No. 12
Calculated volume, Å³/f.u.: 468
Formation energy without anion corrections, eV per atom: -0.301

The following is a DFT calculation (PBE) of an optimized crystal structure of Zn2TcI.

```
Zn2TcI
1.0
-0.148 7.865 -0.273
-5.724 0.080 5.402
-1.042 4.078 4.570
Zn Tc I
4 2 2
Direct
0.875 0.832 0.750
0.582 0.125 0.250
0.375 0.418 0.750
0.168 0.625 0.250
0.500 0.500 0.000
0.250 0.750 0.500
0.000 0.000 0.000
0.750 0.250 0.500
```

Results
E, eV per atom: -2.87
Symmetry: I-42d, No. 122
Density of states at the Fermi level, states/eV/f.u.: 2.407
Calculated volume, Å³/f.u.: 86
Formation energy without anion corrections, eV per atom: 0.749

The following is a DFT calculation (PBE) of an optimized crystal structure of Zn2TcI.

```
Zn2TcI
1.0
0.415 -0.543 4.656
2.329 3.201 2.544
-2.348 2.848 2.919
I Zn Tc
1 2 1
Direct
0.500 0.500 0.500
0.750 0.750 0.750
0.250 0.250 0.250
0.000 0.000 0.000
```

Results
E, eV per atom: -2.63
Symmetry: Fm-3m, No. 225
Density of states at the Fermi level, states/eV/f.u.: 2.145
Calculated volume, Å³/f.u.: 74
Formation energy without anion corrections, eV per atom: 0.990

The following is a DFT calculation (PBE) of an optimized crystal structure of ZrTcI2.

```
ZrTcI2
1.0
-5.776 0.715 2.750
-1.347 -6.174 -1.225
-1.297 -4.245 5.914
Zr I Tc
2 4 2
Direct
0.250 0.750 0.500
0.500 0.500 0.000
0.875 0.907 0.750
0.093 0.625 0.250
0.375 0.343 0.750
0.657 0.125 0.250
0.750 0.250 0.500
0.000 0.000 0.000
```

Results
E, eV per atom: -4.70
Symmetry: I-42d, No. 122
Density of states at the Fermi level, states/eV/f.u.: 4.400
Calculated volume, Å³/f.u.: 121
Formation energy without anion corrections, eV per atom: 0.802

The following is a DFT calculation (PBE) of an optimized crystal structure of ZrTcI2.

```
ZrTcI2
1.0
-4.343 -0.512 2.285
-1.196 3.005 3.726
-3.523 3.401 -0.607
I Tc Zr
2 1 1
Direct
0.750 0.750 0.750
0.250 0.250 0.250
0.500 0.500 0.500
0.000 0.000 0.000
```

Results
E, eV per atom: -4.97
Symmetry: Fm-3m, No. 225
Density of states at the Fermi level, states/eV/f.u.: 5.456
Calculated volume, Å³/f.u.: 85
Formation energy without anion corrections, eV per atom: 0.530

The following is a DFT calculation (PBE) of an optimized crystal structure of Zr2TcI.

```
Zr2TcI
1.0
6.172 0.000 0.000
0.000 6.172 0.000
3.086 3.086 6.543
I Zr Tc
2 4 2
Direct
0.000 0.000 0.000
0.750 0.250 0.500
0.875 0.795 0.750
0.545 0.125 0.250
0.205 0.625 0.250
0.375 0.455 0.750
0.250 0.750 0.500
0.500 0.500 0.000
```

Results
E, eV per atom: -6.63
Symmetry: I-42d, No. 122
Density of states at the Fermi level, states/eV/f.u.: 1.891
Calculated volume, Å³/f.u.: 125
Formation energy without anion corrections, eV per atom: 0.626

The following is a DFT calculation (PBE) of an optimized crystal structure of ZrTc2I.

```
ZrTc2I
1.0
7.653 0.000 0.000
0.000 7.653 0.000
3.826 3.826 2.753
Tc I Zr
4 2 2
Direct
0.375 0.376 0.750
0.875 0.874 0.750
0.126 0.625 0.250
0.624 0.125 0.250
0.750 0.250 0.500
0.000 0.000 0.000
0.250 0.750 0.500
0.500 0.500 0.000
```

Results
E, eV per atom: -6.75
Symmetry: I-42d, No. 122
Density of states at the Fermi level, states/eV/f.u.: 5.680
Calculated volume, Å³/f.u.: 81
Formation energy without anion corrections, eV per atom: 0.956

The following is a DFT calculation (PBE) of an optimized crystal structure of Zr2TcI.

```
Zr2TcI
1.0
1.655 2.568 3.824
0.163 4.887 -0.220
-3.103 2.675 2.678
I Zr Tc
1 2 1
Direct
0.500 0.500 0.500
0.250 0.250 0.250
0.750 0.750 0.750
0.000 0.000 0.000
```

Results
E, eV per atom: -6.95
Symmetry: Fm-3m, No. 225
Density of states at the Fermi level, states/eV/f.u.: 4.483
Calculated volume, Å³/f.u.: 83
Formation energy without anion corrections, eV per atom: 0.303

The following is a DFT calculation (PBE) of an optimized crystal structure of ZrTcI3.

```
ZrTcI3
1.0
-1.102 3.342 4.552
-5.464 -1.804 0.002
1.429 -4.322 3.519
I Tc Zr
3 1 1
Direct
0.000 0.500 0.000
0.000 0.000 0.500
0.500 0.000 0.000
0.500 0.500 0.500
0.000 0.000 0.000
```

Results
E, eV per atom: -4.04
Symmetry: Pm-3m, No. 221
Density of states at the Fermi level, states/eV/f.u.: 7.907
Calculated volume, Å³/f.u.: 190
Formation energy without anion corrections, eV per atom: 0.669

The following is a DFT calculation (PBE) of an optimized crystal structure of ZrTc2I.

```
ZrTc2I
1.0
2.949 -1.742 -3.178
2.319 -3.958 0.887
-1.093 -3.915 -2.303
Tc I Zr
2 1 1
Direct
0.750 0.750 0.750
0.250 0.250 0.250
0.500 0.500 0.500
0.000 0.000 0.000
```

Results
E, eV per atom: -7.22
Symmetry: Fm-3m, No. 225
Density of states at the Fermi level, states/eV/f.u.: 3.319
Calculated volume, Å³/f.u.: 72
Formation energy without anion corrections, eV per atom: 0.485

The following is a DFT calculation (PBE) of an optimized crystal structure of TeI2.

```
TeI2
1.0
-2.123 -7.930 -3.228
4.387 -3.864 6.606
-3.474 -0.007 2.303
Te I
2 4
Direct
0.000 0.000 0.000
0.500 0.500 0.500
0.827 0.173 0.500
0.673 0.673 0.000
0.327 0.327 0.000
0.173 0.827 0.500
```

Results
E, eV per atom: -2.10
Symmetry: P4_2/mnm, No. 136
Calculated volume, Å³/f.u.: 162
Formation energy without anion corrections, eV per atom: -0.015

The following is a DFT calculation (PBE) of an optimized crystal structure of TeI.

```
TeI
1.0
-8.357 -1.625 -1.341
0.763 -4.149 0.269
4.455 1.601 12.044
Te I
4 4
Direct
0.007 0.000 0.221
0.743 0.500 0.100
0.007 0.500 0.721
0.743 0.000 0.600
0.194 0.000 0.096
0.435 0.500 0.458
0.194 0.500 0.596
0.435 0.000 0.958
```

Results
E, eV per atom: -2.39
Symmetry: Cm, No. 8
Calculated volume, Å³/f.u.: 102
Formation energy without anion corrections, eV per atom: -0.046

The following is a DFT calculation (PBE) of an optimized crystal structure of TeI4.

```
TeI4
1.0
11.844 0.000 -0.096
0.000 14.531 0.000
-3.427 0.000 22.770
I Te
64 16
Direct
0.530 0.535 0.353
0.500 0.794 0.434
0.266 0.724 0.577
0.019 0.789 0.197
0.734 0.224 0.923
0.385 0.521 0.149
0.928 0.556 0.403
0.615 0.234 0.745
0.205 0.197 0.674
0.168 0.960 0.786
0.803 0.941 0.726
0.197 0.441 0.774
0.500 0.706 0.934
0.385 0.766 0.255
0.688 0.949 0.538
0.684 0.435 0.525
0.649 0.800 0.129
0.795 0.803 0.326
0.385 0.734 0.755
0.858 0.211 0.618
0.615 0.021 0.351
0.351 0.200 0.871
0.875 0.708 0.511
0.832 0.040 0.214
0.316 0.935 0.975
0.500 0.206 0.566
0.795 0.697 0.826
0.981 0.289 0.303
0.042 0.948 0.590
0.385 0.979 0.649
0.734 0.276 0.423
0.958 0.052 0.410
0.142 0.711 0.882
0.649 0.700 0.629
0.125 0.292 0.489
0.928 0.944 0.903
0.615 0.266 0.245
0.312 0.449 0.962
0.072 0.444 0.597
0.125 0.208 0.989
0.958 0.448 0.910
0.266 0.776 0.077
0.832 0.460 0.714
0.803 0.559 0.226
0.875 0.792 0.011
0.205 0.303 0.174
0.470 0.465 0.647
0.168 0.540 0.286
0.072 0.056 0.097
0.019 0.711 0.697
0.142 0.789 0.382
0.500 0.294 0.066
0.684 0.065 0.025
0.351 0.300 0.371
0.615 0.479 0.851
0.197 0.059 0.274
0.858 0.289 0.118
0.981 0.211 0.803
0.316 0.565 0.475
0.042 0.552 0.090
0.470 0.035 0.147
0.688 0.551 0.038
0.312 0.051 0.462
0.530 0.965 0.853
0.222 0.846 0.667
0.959 0.674 0.307
0.222 0.654 0.167
0.959 0.826 0.807
0.823 0.685 0.105
0.778 0.346 0.833
0.177 0.315 0.895
0.778 0.154 0.333
0.823 0.815 0.605
0.356 0.839 0.871
0.356 0.661 0.371
0.177 0.185 0.395
0.644 0.339 0.629
0.041 0.174 0.193
0.041 0.326 0.693
0.644 0.161 0.129
```

Results
E, eV per atom: -1.97
Symmetry: P2_1/c, No. 14
Calculated volume, Å³/f.u.: 245
Formation energy without anion corrections, eV per atom: -0.101

The following is a DFT calculation (PBE) of an optimized crystal structure of TeI.

```
TeI
1.0
-5.711 4.755 -6.192
-0.201 -3.459 -2.471
-2.649 -7.349 10.504
I Te
4 4
Direct
0.721 0.500 0.985
0.172 0.500 0.543
0.172 0.000 0.043
0.721 0.000 0.485
0.612 0.500 0.142
0.612 0.000 0.642
0.874 0.500 0.834
0.874 0.000 0.334
```

Results
E, eV per atom: -2.41
Symmetry: Cm, No. 8
Calculated volume, Å³/f.u.: 100
Formation energy without anion corrections, eV per atom: -0.059

The following is a DFT calculation (PBE) of an optimized crystal structure of TeI.

```
TeI
1.0
-0.292 1.820 -6.467
-5.995 -3.223 0.591
-1.627 7.912 3.015
I Te
4 4
Direct
0.418 0.000 0.543
0.887 0.451 0.548
0.518 0.553 0.899
0.024 0.046 0.903
0.035 0.619 0.099
0.918 0.867 0.363
0.922 0.231 0.219
0.484 0.808 0.212
```

Results
E, eV per atom: -2.35
Symmetry: P1, No. 1
Density of states at the Fermi level, states/eV/f.u.: 0.684
Calculated volume, Å³/f.u.: 94
Formation energy without anion corrections, eV per atom: -0.004